Entry 1:
The following is a PBE calculation of crystalline Pm6SbAs3S2 at its relaxed geometry, from Alexandria.

Results
The space group is C2/m (12).

abc: 9.4379 9.4379 8.4504
angles: 102.93 102.93 25.89
With the nearest neighbours (Å) after each atom.
Atoms (fractional coordinates):
Pm (0.0019, 0.0019, 0.2631)  3 As 2.92-2.99, 1 S 3.00, 2 Sb 3.06
Pm (0.3280, 0.3280, 0.9140)  3 As 2.92-3.00, 2 S 3.01, 1 Sb 3.08
Pm (0.3330, 0.3330, 0.4161)  3 S 2.93-2.98, 3 As 2.98-2.99
Pm (0.6670, 0.6670, 0.5839)  3 S 2.93-2.98, 3 As 2.98-2.99
Pm (0.6720, 0.6720, 0.0860)  3 As 2.92-3.00, 2 S 3.01, 1 Sb 3.08
Pm (0.9981, 0.9981, 0.7369)  3 As 2.92-2.99, 1 S 3.00, 2 Sb 3.06
Sb (0.5000, 0.5000, 0.0000)  6 Pm 3.06-3.08
As (0.1652, 0.1652, 0.8309)  6 Pm 2.92-3.00
As (0.5000, 0.5000, 0.5000)  6 Pm 2.92-2.99
As (0.8348, 0.8348, 0.1691)  6 Pm 2.92-3.00
S (0.1694, 0.1694, 0.3373)  6 Pm 2.93-3.01
S (0.8306, 0.8306, 0.6627)  6 Pm 2.93-3.01

***

Entry 2:
The following is a PBE calculation of crystalline Pm4AsSe2S at its relaxed geometry, from Alexandria.

Results
The space group is P2/m (10).

abc: 7.1818 4.1532 7.2932
angles: 90.00 109.18 90.00
With the nearest neighbours (Å) after each atom.
Atoms (fractional coordinates):
Pm (0.2401, 0.0000, 0.2319)  2 S 2.87, 1 As 2.90, 3 Se 3.00-3.04
Pm (0.2508, 0.5000, 0.7646)  1 S 2.87, 2 As 2.91, 3 Se 3.00-3.03
Pm (0.7492, 0.5000, 0.2354)  1 S 2.87, 2 As 2.91, 3 Se 3.00-3.03
Pm (0.7599, 0.0000, 0.7681)  2 S 2.87, 1 As 2.90, 3 Se 3.00-3.04
As (0.5000, 0.0000, 0.0000)  6 Pm 2.90-2.91
Se (0.0000, 0.0000, 0.5000)  6 Pm 3.00
Se (0.5000, 0.5000, 0.5000)  6 Pm 3.03-3.04
S (0.0000, 0.5000, 0.0000)  6 Pm 2.87

***

Entry 3:
The following is a PBE calculation of crystalline Pm8As4Se3S at its relaxed geometry, from Alexandria.

Results
The space group is R-3m (166).

abc: 8.4140 8.4140 8.4140
angles: 59.92 59.92 59.92
With the nearest neighbours (Å) after each atom.
Atoms (fractional coordinates):
Pm (0.2433, 0.7499, 0.7499)  3 As 2.93-2.97, 1 S 2.97, 2 Se 3.01
Pm (0.2465, 0.2465, 0.2465)  3 As 2.93, 3 Se 3.01
Pm (0.2501, 0.2501, 0.7567)  3 As 2.93-2.97, 1 S 2.97, 2 Se 3.01
Pm (0.2501, 0.7567, 0.2501)  3 As 2.93-2.97, 1 S 2.97, 2 Se 3.01
Pm (0.7499, 0.2433, 0.7499)  3 As 2.93-2.97, 1 S 2.97, 2 Se 3.01
Pm (0.7499, 0.7499, 0.2433)  3 As 2.93-2.97, 1 S 2.97, 2 Se 3.01
Pm (0.7535, 0.7535, 0.7535)  3 As 2.93, 3 Se 3.01
Pm (0.7567, 0.2501, 0.2501)  3 As 2.93-2.97, 1 S 2.97, 2 Se 3.01
As (0.0000, 0.0000, 0.5000)  6 Pm 2.93
As (0.0000, 0.5000, 0.0000)  6 Pm 2.93
As (0.5000, 0.0000, 0.0000)  6 Pm 2.93
As (0.5000, 0.5000, 0.5000)  6 Pm 2.97
Se (0.0000, 0.5000, 0.5000)  6 Pm 3.01
Se (0.5000, 0.0000, 0.5000)  6 Pm 3.01
Se (0.5000, 0.5000, 0.0000)  6 Pm 3.01
S (0.0000, 0.0000, 0.0000)  6 Pm 2.97

***

Entry 4:
The following is a PBE calculation of crystalline Pm6As3Se2S at its relaxed geometry, from Alexandria.

Results
The space group is C2/m (12).

abc: 9.3912 9.3912 8.3897
angles: 102.99 102.99 25.83
With the nearest neighbours (Å) after each atom.
Atoms (fractional coordinates):
Pm (0.0025, 0.0025, 0.2523)  3 As 2.94-2.97, 2 S 2.96, 1 Se 3.01
Pm (0.3345, 0.3345, 0.4239)  3 As 2.93-2.97, 1 S 2.95, 2 Se 3.01
Pm (0.3360, 0.3360, 0.9107)  3 As 2.92-2.93, 3 Se 3.01-3.02
Pm (0.6640, 0.6640, 0.0893)  3 As 2.92-2.93, 3 Se 3.01-3.02
Pm (0.6655, 0.6655, 0.5761)  3 As 2.93-2.97, 1 S 2.95, 2 Se 3.01
Pm (0.9975, 0.9975, 0.7477)  3 As 2.94-2.97, 2 S 2.96, 1 Se 3.01
As (0.1677, 0.1677, 0.3341)  6 Pm 2.93-2.97
As (0.5000, 0.5000, 0.0000)  6 Pm 2.92-2.97
As (0.8323, 0.8323, 0.6659)  6 Pm 2.93-2.97
Se (0.1664, 0.1664, 0.8334)  6 Pm 3.01-3.02
Se (0.8336, 0.8336, 0.1666)  6 Pm 3.01-3.02
S (0.5000, 0.5000, 0.5000)  6 Pm 2.95-2.96

***

Entry 5:
The following is a PBE calculation of crystalline Pm6As3SeS2 at its relaxed geometry, from Alexandria.

Results
The space group is C2/m (12).

abc: 9.3241 9.3241 8.3242
angles: 102.78 102.78 25.88
With the nearest neighbours (Å) after each atom.
Atoms (fractional coordinates):
Pm (0.0011, 0.0011, 0.2573)  3 As 2.91-2.95, 1 S 2.94, 2 Se 2.99
Pm (0.3303, 0.3303, 0.9142)  3 As 2.92-2.96, 2 S 2.94, 1 Se 3.00
Pm (0.3326, 0.3326, 0.4175)  3 S 2.93-2.94, 3 As 2.95-2.96
Pm (0.6674, 0.6674, 0.5825)  3 S 2.93-2.94, 3 As 2.95-2.96
Pm (0.6697, 0.6697, 0.0858)  3 As 2.92-2.96, 2 S 2.94, 1 Se 3.00
Pm (0.9989, 0.9989, 0.7427)  3 As 2.91-2.95, 1 S 2.94, 2 Se 2.99
As (0.1654, 0.1654, 0.8326)  6 Pm 2.92-2.96
As (0.5000, 0.5000, 0.5000)  6 Pm 2.91-2.96
As (0.8346, 0.8346, 0.1674)  6 Pm 2.92-2.96
Se (0.5000, 0.5000, 0.0000)  6 Pm 2.99-3.00
S (0.1672, 0.1672, 0.3335)  6 Pm 2.93-2.94
S (0.8328, 0.8328, 0.6665)  6 Pm 2.93-2.94

***

Entry 6:
The following is a PBE calculation of crystalline Pm4AsSeS2 at its relaxed geometry, from Alexandria.

Results
The space group is P2/m (10).

abc: 7.1398 4.1193 7.1715
angles: 90.00 109.28 90.00
With the nearest neighbours (Å) after each atom.
Atoms (fractional coordinates):
Pm (0.2356, 0.0000, 0.2374)  3 S 2.84-2.91, 1 As 2.93, 2 Se 3.00
Pm (0.2415, 0.5000, 0.7544)  3 S 2.84-2.91, 2 As 2.93, 1 Se 2.99
Pm (0.7585, 0.5000, 0.2456)  3 S 2.84-2.91, 2 As 2.93, 1 Se 2.99
Pm (0.7644, 0.0000, 0.7626)  3 S 2.84-2.91, 1 As 2.93, 2 Se 3.00
As (0.5000, 0.0000, 0.0000)  6 Pm 2.93
Se (0.5000, 0.5000, 0.5000)  6 Pm 2.99-3.00
S (0.0000, 0.0000, 0.5000)  6 Pm 2.91
S (0.0000, 0.5000, 0.0000)  6 Pm 2.84

***

Entry 7:
The following is a PBE calculation of crystalline Pm8As3SeS4 at its relaxed geometry, from Alexandria.

Results
The space group is R-3m (166).

abc: 8.2492 8.2492 8.2492
angles: 60.32 60.32 60.32
With the nearest neighbours (Å) after each atom.
Atoms (fractional coordinates):
Pm (0.2491, 0.2491, 0.2491)  3 S 2.91, 3 As 2.93
Pm (0.2538, 0.7446, 0.7446)  3 S 2.86-2.92, 2 As 2.93, 1 Se 2.99
Pm (0.2554, 0.2554, 0.7462)  3 S 2.86-2.91, 2 As 2.93, 1 Se 2.99
Pm (0.2554, 0.7462, 0.2554)  3 S 2.86-2.91, 2 As 2.93, 1 Se 2.99
Pm (0.7446, 0.2538, 0.7446)  3 S 2.86-2.92, 2 As 2.93, 1 Se 2.99
Pm (0.7446, 0.7446, 0.2538)  3 S 2.86-2.92, 2 As 2.93, 1 Se 2.99
Pm (0.7462, 0.2554, 0.2554)  3 S 2.86-2.91, 2 As 2.93, 1 Se 2.99
Pm (0.7509, 0.7509, 0.7509)  3 S 2.91, 3 As 2.93
As (0.0000, 0.5000, 0.5000)  6 Pm 2.93
As (0.5000, 0.0000, 0.5000)  6 Pm 2.93
As (0.5000, 0.5000, 0.0000)  6 Pm 2.93
Se (0.0000, 0.0000, 0.0000)  6 Pm 2.99
S (0.0000, 0.0000, 0.5000)  6 Pm 2.91-2.92
S (0.0000, 0.5000, 0.0000)  6 Pm 2.91-2.92
S (0.5000, 0.0000, 0.0000)  6 Pm 2.91
S (0.5000, 0.5000, 0.5000)  6 Pm 2.86

***

Entry 8:
The following is a PBE calculation of crystalline Pm8AsSe3S4 at its relaxed geometry, from Alexandria.

Results
The space group is R-3m (166).

abc: 8.2680 8.2680 8.2680
angles: 59.69 59.69 59.69
With the nearest neighbours (Å) after each atom.
Atoms (fractional coordinates):
Pm (0.2360, 0.7484, 0.7484)  3 S 2.83-2.90, 1 As 2.94, 2 Se 3.01
Pm (0.2417, 0.2417, 0.2417)  3 S 2.82, 3 Se 3.02
Pm (0.2516, 0.2516, 0.7640)  3 S 2.83-2.90, 1 As 2.94, 2 Se 3.01
Pm (0.2516, 0.7640, 0.2516)  3 S 2.83-2.90, 1 As 2.94, 2 Se 3.01
Pm (0.7484, 0.2360, 0.7484)  3 S 2.83-2.90, 1 As 2.94, 2 Se 3.01
Pm (0.7484, 0.7484, 0.2360)  3 S 2.83-2.90, 1 As 2.94, 2 Se 3.01
Pm (0.7583, 0.7583, 0.7583)  3 S 2.82, 3 Se 3.02
Pm (0.7640, 0.2516, 0.2516)  3 S 2.83-2.90, 1 As 2.94, 2 Se 3.01
As (0.0000, 0.0000, 0.0000)  6 Pm 2.94
Se (0.0000, 0.5000, 0.5000)  6 Pm 3.01-3.02
Se (0.5000, 0.0000, 0.5000)  6 Pm 3.01-3.02
Se (0.5000, 0.5000, 0.0000)  6 Pm 3.01-3.02
S (0.0000, 0.0000, 0.5000)  6 Pm 2.82-2.83
S (0.0000, 0.5000, 0.0000)  6 Pm 2.82-2.83
S (0.5000, 0.0000, 0.0000)  6 Pm 2.82-2.83
S (0.5000, 0.5000, 0.5000)  6 Pm 2.90

***

Entry 9:
The following is a PBE calculation of crystalline Pm6As2Se3S at its relaxed geometry, from Alexandria.

Results
The space group is C2/m (12).

abc: 9.3964 9.3964 8.4030
angles: 103.59 103.59 25.67
With the nearest neighbours (Å) after each atom.
Atoms (fractional coordinates):
Pm (0.0019, 0.0019, 0.2365)  2 S 2.88, 1 As 2.92, 3 Se 3.02-3.05
Pm (0.3308, 0.3308, 0.4227)  3 As 2.92-2.93, 3 Se 3.00-3.01
Pm (0.3387, 0.3387, 0.9131)  1 S 2.87, 2 As 2.92, 3 Se 3.00-3.04
Pm (0.6613, 0.6613, 0.0869)  1 S 2.87, 2 As 2.92, 3 Se 3.00-3.04
Pm (0.6692, 0.6692, 0.5773)  3 As 2.92-2.93, 3 Se 3.00-3.01
Pm (0.9981, 0.9981, 0.7635)  2 S 2.88, 1 As 2.92, 3 Se 3.02-3.05
As (0.1659, 0.1659, 0.3322)  6 Pm 2.92-2.93
As (0.8341, 0.8341, 0.6678)  6 Pm 2.92-2.93
Se (0.1679, 0.1679, 0.8338)  6 Pm 3.00-3.04
Se (0.5000, 0.5000, 0.5000)  6 Pm 3.01-3.05
Se (0.8321, 0.8321, 0.1662)  6 Pm 3.00-3.04
S (0.5000, 0.5000, 0.0000)  6 Pm 2.87-2.88

***

Entry 10:
The following is a PBE calculation of crystalline Pm8As3Se4S at its relaxed geometry, from Alexandria.

Results
The space group is R-3m (166).

abc: 8.4221 8.4221 8.4221
angles: 59.58 59.58 59.58
With the nearest neighbours (Å) after each atom.
Atoms (fractional coordinates):
Pm (0.2466, 0.2466, 0.2466)  3 As 2.93, 3 Se 3.01
Pm (0.2480, 0.7443, 0.7443)  1 S 2.90, 2 As 2.92, 3 Se 3.02-3.04
Pm (0.2557, 0.2557, 0.7520)  1 S 2.90, 2 As 2.92, 3 Se 3.02-3.04
Pm (0.2557, 0.7520, 0.2557)  1 S 2.90, 2 As 2.92, 3 Se 3.02-3.04
Pm (0.7443, 0.2480, 0.7443)  1 S 2.90, 2 As 2.92, 3 Se 3.02-3.04
Pm (0.7443, 0.7443, 0.2480)  1 S 2.90, 2 As 2.92, 3 Se 3.02-3.04
Pm (0.7520, 0.2557, 0.2557)  1 S 2.90, 2 As 2.92, 3 Se 3.02-3.04
Pm (0.7534, 0.7534, 0.7534)  3 As 2.93, 3 Se 3.01
As (0.0000, 0.0000, 0.5000)  6 Pm 2.92-2.93
As (0.0000, 0.5000, 0.0000)  6 Pm 2.92-2.93
As (0.5000, 0.0000, 0.0000)  6 Pm 2.92-2.93
Se (0.0000, 0.0000, 0.0000)  6 Pm 3.04
Se (0.0000, 0.5000, 0.5000)  6 Pm 3.01-3.02
Se (0.5000, 0.0000, 0.5000)  6 Pm 3.01-3.02
Se (0.5000, 0.5000, 0.0000)  6 Pm 3.01-3.02
S (0.5000, 0.5000, 0.5000)  6 Pm 2.90

***

Entry 11:
The following is a PBE calculation of crystalline Pm6AsSe3S2 at its relaxed geometry, from Alexandria.

Results
The space group is C2/m (12).

abc: 7.1485 7.1485 7.2757
angles: 99.41 99.41 120.00
With the nearest neighbours (Å) after each atom.
Atoms (fractional coordinates):
Pm (0.0847, 0.4226, 0.7687)  2 S 2.85, 1 As 2.89, 3 Se 3.00-3.03
Pm (0.2385, 0.2385, 0.2308)  2 S 2.85, 1 As 2.89, 3 Se 2.99-3.02
Pm (0.4226, 0.0847, 0.7687)  2 S 2.85, 1 As 2.89, 3 Se 3.00-3.03
Pm (0.5774, 0.9153, 0.2313)  2 S 2.85, 1 As 2.89, 3 Se 3.00-3.03
Pm (0.7615, 0.7615, 0.7692)  2 S 2.85, 1 As 2.89, 3 Se 2.99-3.02
Pm (0.9153, 0.5774, 0.2313)  2 S 2.85, 1 As 2.89, 3 Se 3.00-3.03
As (0.5000, 0.5000, 0.0000)  6 Pm 2.89
Se (0.0000, 0.0000, 0.5000)  6 Pm 2.99-3.03
Se (0.3351, 0.6649, 0.5000)  6 Pm 3.00-3.03
Se (0.6649, 0.3351, 0.5000)  6 Pm 3.00-3.03
S (0.1669, 0.8331, 0.0000)  6 Pm 2.85
S (0.8331, 0.1669, 0.0000)  6 Pm 2.85

***

E_form (uncorrected) / eV/atom: -1.64, -1.84, -1.75, -1.76, -1.78, -1.88, -1.85, -1.91, -1.81, -1.79, -1.88
Energy / eV/atom: -6.207, -6.185, -6.203, -6.223, -6.298, -6.304, -6.342, -6.264, -6.173, -6.167, -6.198